# Ca2AgCl PBE optimized geometry
data_Ca2AgCl
_cell_length_a 3.651
_cell_length_b 3.924
_cell_length_c 7.996
_cell_angle_alpha 90.00
_cell_angle_beta 90.00
_cell_angle_gamma 90.00
_symmetry_space_group_name_H-M 'P 1'
_symmetry_Int_Tables_number 1
loop_
_symmetry_equiv_pos_as_xyz
'x,y,z'
loop_
_atom_site_label
_atom_site_fract_x
_atom_site_fract_y
_atom_site_fract_z
Ca1 0.000 0.000 0.221
Ca2 0.000 0.000 0.779
Ag1 0.500 0.500 0.000
Cl1 0.500 0.000 0.500
# Electronic total energy   -3.13 eV per atom
# D(E_F)   2.23 states/eV/cell
# Space-group type   No. 47
# Polymorph energy (0 for the lowest one)   0 kJ/mol of formula units
# Size of the total moment   0.00 Bohr magnetons per cell